[1]
First-principles (PBE) data for an optimized crystal structure of RbCdF3, as listed in the Alexandria database.

Values from the calculation:
Mass density (g cm⁻³): 3.5
Symmetry: Pm-3m (221)
N(E_F) (states/eV per cell): 4.23
Raw total energy (Ry/atom): -0.1994

The structure in CIF format:
```
data_RbCdF3
_chemical_formula_sum 'Rb1 Cd1 F3'
_cell_length_a 4.9381
_cell_length_b 4.9381
_cell_length_c 4.9381
_cell_angle_alpha 90.00
_cell_angle_beta 90.00
_cell_angle_gamma 90.00
_symmetry_space_group_name_H-M 'P 1'
_symmetry_Int_Tables_number 1
_symmetry_space_group_name_Hall 'P 1'
loop_
_atom_site_label
_atom_site_fract_x
_atom_site_fract_y
_atom_site_fract_z
_atom_site_occupancy
F1 0.0000 0.5000 0.0000 1
F2 0.0000 0.0000 0.5000 1
F3 0.5000 0.0000 0.0000 1
Rb1 0.0000 0.0000 0.0000 1
Cd1 0.5000 0.5000 0.5000 1
```

=====

[2]
First-principles (PBE) data for an optimized crystal structure of Zn5Ni, as listed in the Alexandria database.

Values from the calculation:
Mass density (g cm⁻³): 7.8
Symmetry: Cmmm (65)
ΔH_f (0 K) (meV/atom): -90
N(E_F) (states/eV per cell): 1.11
Raw total energy (Ry/atom): -0.1554

The structure in CIF format:
```
data_Zn5Ni
_chemical_formula_sum 'Zn5 Ni1'
_cell_length_a 5.9670
_cell_length_b 5.9670
_cell_length_c 3.8199
_cell_angle_alpha 90.00
_cell_angle_beta 90.00
_cell_angle_gamma 142.79
_symmetry_space_group_name_H-M 'P 1'
_symmetry_Int_Tables_number 1
_symmetry_space_group_name_Hall 'P 1'
loop_
_atom_site_label
_atom_site_fract_x
_atom_site_fract_y
_atom_site_fract_z
_atom_site_occupancy
Ni1 0.9723 0.0277 0.0000 1
Zn1 0.8099 0.1901 0.5000 1
Zn2 0.6341 0.3659 0.0000 1
Zn3 0.4722 0.5278 0.5000 1
Zn4 0.3103 0.6897 0.0000 1
Zn5 0.1345 0.8655 0.5000 1
```

=====

[3]
First-principles (PBE) data for an optimized crystal structure of ThSc2PaAs4, as listed in the Alexandria database.

Values from the calculation:
Mass density (g cm⁻³): 7.6
Symmetry: P2/m (10)
ΔH_f (0 K) (meV/atom): -1280
N(E_F) (states/eV per cell): 6.26
Raw total energy (Ry/atom): -0.5367

The structure in CIF format:
```
data_ThSc2PaAs4
_chemical_formula_sum 'Th1 Sc2 Pa1 As4'
_cell_length_a 4.0597
_cell_length_b 6.9125
_cell_length_c 7.0319
_cell_angle_alpha 70.20
_cell_angle_beta 90.00
_cell_angle_gamma 90.00
_symmetry_space_group_name_H-M 'P 1'
_symmetry_Int_Tables_number 1
_symmetry_space_group_name_Hall 'P 1'
loop_
_atom_site_label
_atom_site_fract_x
_atom_site_fract_y
_atom_site_fract_z
_atom_site_occupancy
Th1 0.5000 0.5000 0.0000 1
Sc1 0.0000 0.0000 0.0000 1
Sc2 0.5000 0.0000 0.5000 1
Pa1 0.0000 0.5000 0.5000 1
As1 0.0000 0.7708 0.7364 1
As2 0.0000 0.2292 0.2636 1
As3 0.5000 0.7680 0.2500 1
As4 0.5000 0.2320 0.7500 1
```

=====

[4]
First-principles (PBE) data for an optimized crystal structure of Li2LaTc, as listed in the Alexandria database.

Values from the calculation:
Mass density (g cm⁻³): 5.2
Symmetry: Immm (71)
Offset from the most stable computed form (meV per atom): 0
ΔH_f (0 K) (meV/atom): 233
N(E_F) (states/eV per cell): 3.73
Raw total energy (Ry/atom): -0.3342

The structure in CIF format:
```
data_Li2LaTc
_chemical_formula_sum 'Li2 La1 Tc1'
_cell_length_a 5.9769
_cell_length_b 5.9769
_cell_length_c 4.5428
_cell_angle_alpha 67.63
_cell_angle_beta 67.63
_cell_angle_gamma 32.39
_symmetry_space_group_name_H-M 'P 1'
_symmetry_Int_Tables_number 1
_symmetry_space_group_name_Hall 'P 1'
loop_
_atom_site_label
_atom_site_fract_x
_atom_site_fract_y
_atom_site_fract_z
_atom_site_occupancy
La1 0.7500 0.7500 0.7500 1
Li1 0.9719 0.9719 0.0279 1
Li2 0.5281 0.5281 0.4721 1
Tc1 0.2500 0.2500 0.2500 1
```

=====

[5]
First-principles (PBE) data for an optimized crystal structure of MnAsIr2, as listed in the Alexandria database.

Values from the calculation:
Mass density (g cm⁻³): 14.3
Symmetry: F-43m (216)
ΔH_f (0 K) (meV/atom): 264
N(E_F) (states/eV per cell): 5.13
Raw total energy (Ry/atom): -0.5602

The structure in CIF format:
```
data_MnAsIr2
_chemical_formula_sum 'Mn1 As1 Ir2'
_cell_length_a 4.3850
_cell_length_b 4.3850
_cell_length_c 4.3850
_cell_angle_alpha 60.00
_cell_angle_beta 60.00
_cell_angle_gamma 60.00
_symmetry_space_group_name_H-M 'P 1'
_symmetry_Int_Tables_number 1
_symmetry_space_group_name_Hall 'P 1'
loop_
_atom_site_label
_atom_site_fract_x
_atom_site_fract_y
_atom_site_fract_z
_atom_site_occupancy
As1 0.5000 0.5000 0.5000 1
Ir1 0.0000 0.0000 0.0000 1
Ir2 0.7500 0.7500 0.7500 1
Mn1 0.2500 0.2500 0.2500 1
```

=====

[6]
First-principles (PBE) data for an optimized crystal structure of SrCoPb, as listed in the Alexandria database.

Values from the calculation:
Mass density (g cm⁻³): 7.9
Symmetry: I4mm (107)
ΔH_f (0 K) (meV/atom): 158
N(E_F) (states/eV per cell): 1.33
Raw total energy (Ry/atom): -0.2946

The structure in CIF format:
```
data_SrCoPb
_chemical_formula_sum 'Sr1 Co1 Pb1'
_cell_length_a 6.3600
_cell_length_b 6.3600
_cell_length_c 3.5649
_cell_angle_alpha 73.73
_cell_angle_beta 73.72
_cell_angle_gamma 32.55
_symmetry_space_group_name_H-M 'P 1'
_symmetry_Int_Tables_number 1
_symmetry_space_group_name_Hall 'P 1'
loop_
_atom_site_label
_atom_site_fract_x
_atom_site_fract_y
_atom_site_fract_z
_atom_site_occupancy
Co1 0.0295 0.0295 0.9705 1
Pb1 0.6268 0.6268 0.3732 1
Sr1 0.3437 0.3437 0.6563 1
```

=====

[7]
First-principles (PBE) data for an optimized crystal structure of AlAuBr2, as listed in the Alexandria database.

Values from the calculation:
Mass density (g cm⁻³): 5.3
Symmetry: Pm (6)
Offset from the most stable computed form (meV per atom): 0
Raw total energy (Ry/atom): -0.2334

The structure in CIF format:
```
data_AlAuBr2
_chemical_formula_sum 'Al1 Au1 Br2'
_cell_length_a 3.4417
_cell_length_b 5.6063
_cell_length_c 6.6091
_cell_angle_alpha 71.84
_cell_angle_beta 90.00
_cell_angle_gamma 90.00
_symmetry_space_group_name_H-M 'P 1'
_symmetry_Int_Tables_number 1
_symmetry_space_group_name_Hall 'P 1'
loop_
_atom_site_label
_atom_site_fract_x
_atom_site_fract_y
_atom_site_fract_z
_atom_site_occupancy
Au1 0.5000 0.6905 0.7021 1
Al1 0.0000 0.4278 0.5958 1
Br1 0.0000 0.0279 0.8655 1
Br2 0.5000 0.3538 0.3366 1
```

=====

[8]
First-principles (PBE) data for an optimized crystal structure of KEuPb, as listed in the Alexandria database.

Values from the calculation:
Mass density (g cm⁻³): 5.2
Symmetry: I4mm (107)
Offset from the most stable computed form (meV per atom): 0
ΔH_f (0 K) (meV/atom): -193
N(E_F) (states/eV per cell): 8.73
Raw total energy (Ry/atom): -0.3836

The structure in CIF format:
```
data_KEuPb
_chemical_formula_sum 'K1 Eu1 Pb1'
_cell_length_a 4.1688
_cell_length_b 4.1688
_cell_length_c 7.8595
_cell_angle_alpha 105.38
_cell_angle_beta 105.38
_cell_angle_gamma 90.00
_symmetry_space_group_name_H-M 'P 1'
_symmetry_Int_Tables_number 1
_symmetry_space_group_name_Hall 'P 1'
loop_
_atom_site_label
_atom_site_fract_x
_atom_site_fract_y
_atom_site_fract_z
_atom_site_occupancy
Pb1 0.9351 0.9351 0.8702 1
Eu1 0.3221 0.3221 0.6442 1
K1 0.5928 0.5928 0.1856 1
```